# 1
Entry from Alexandria: a geometry-optimized CaPmCdHg structure (PBE).

Properties
ΔE_f ... -0.45 eV/atom

Structure (POSCAR):
```
CaPmCdHg
1.0
-1.426 -0.608 -5.157
3.729 -1.172 -3.704
0.103 -4.885 -2.264
Ca Cd Hg Pm
1 1 1 1
Direct
0.000 0.000 0.000
0.750 0.750 0.750
0.250 0.250 0.250
0.500 0.500 0.500
```


# 2
Entry from Alexandria: a geometry-optimized Ga3CBr structure (PBE).

Properties
Offset from the most stable computed form ... 5.38 eV/f.u.
Formation energy from raw total energies ... 1.670 eV per atom

Structure (POSCAR):
```
Ga3CBr
1.0
-0.574 -4.985 2.706
5.337 -1.395 -1.438
1.920 2.388 4.808
C Ga Br
1 3 1
Direct
0.500 0.500 0.500
0.000 0.500 0.000
0.000 0.000 0.500
0.500 0.000 0.000
0.000 0.000 0.000
```


# 3
Entry from Alexandria: a geometry-optimized Pm5NdCo2 structure (PBE).

Properties
ΔE_f ... 0.02 eV/atom

Structure (POSCAR):
```
Pm5NdCo2
1.0
-3.240 -0.018 2.337
-1.272 -8.875 1.585
2.463 -5.546 6.788
Pm Nd Co
5 1 2
Direct
0.000 0.500 0.500
0.661 0.590 0.088
0.339 0.410 0.912
0.339 0.912 0.410
0.661 0.088 0.590
0.000 0.000 0.000
0.821 0.679 0.679
0.179 0.321 0.321
```


# 4
Entry from Alexandria: a geometry-optimized CoSiNi2 structure (PBE).

Properties
Formation energy from raw total energies ... -0.229 eV per atom

Structure (POSCAR):
```
CoSiNi2
1.0
2.568 0.000 0.000
0.000 3.457 0.000
0.000 0.000 4.936
Co Ni Si
1 2 1
Direct
0.500 0.500 0.750
0.000 0.000 0.003
0.000 0.000 0.497
0.500 0.500 0.250
```


# 5
Entry from Alexandria: a geometry-optimized HSeBr2 structure (PBE).

Properties
Offset from the most stable computed form ... 0.37 eV/f.u.

Structure (POSCAR):
```
HSeBr2
1.0
4.279 -0.036 -0.054
1.813 4.448 -0.015
0.689 1.369 6.218
H Se Br
1 1 2
Direct
0.553 0.657 0.089
0.426 0.911 0.212
0.126 0.601 0.457
0.747 0.191 0.941
```


# 6
Entry from Alexandria: a geometry-optimized IrPtPb2O structure (PBE).

Properties
Offset from the most stable computed form ... 0.09 eV/f.u.
Formation energy from raw total energies ... -0.150 eV per atom

Structure (POSCAR):
```
IrPtPb2O
1.0
-0.796 2.069 -3.040
2.317 -2.649 -2.391
-6.355 -3.326 1.332
Ir Pt Pb O
1 1 2 1
Direct
0.993 0.263 0.925
0.243 0.471 0.339
0.725 0.913 0.225
0.871 0.624 0.650
0.491 0.262 0.923
```


# 7
Entry from Alexandria: a geometry-optimized TlAsN3 structure (PBE).

Properties
Formation energy from raw total energies ... 2.634 eV per atom

Structure (POSCAR):
```
TlAsN3
1.0
-4.079 1.172 -0.391
-1.123 -4.079 -0.512
-0.515 -0.387 4.213
Tl As N
1 1 3
Direct
0.000 0.000 0.000
0.500 0.500 0.500
0.000 0.500 0.000
0.000 0.000 0.500
0.500 0.000 0.000
```


# 8
Entry from Alexandria: a geometry-optimized YZrNb2Hg structure (PBE).

Properties
ΔE_f ... 1.73 eV/atom

Structure (POSCAR):
```
YZrNb2Hg
1.0
4.952 0.000 0.000
0.000 5.205 0.000
0.000 0.000 4.952
Y Nb Hg Zr
1 2 1 1
Direct
0.000 0.000 0.000
0.000 0.000 0.500
0.500 0.000 0.000
0.500 0.500 0.500
0.000 0.500 0.000
```


no.,electronic total energy (eV per atom)
1,-2.441
2,-2.325
3,-5.320
4,-6.252
5,-2.610
6,-5.606
7,-3.764
8,-5.359